DFT (PBE with a Hubbard U) results for TaVB2O after structural relaxation.

a b c (Å): 3.832 3.854 3.832
angles (deg): 90.00 90.00 90.00
Fractional positions:
B 0.000 0.000 0.500
V 0.500 0.500 0.500
O 0.000 0.000 0.000
Ta 0.000 0.500 0.000
B 0.500 0.000 0.000

E_tot: -6.704 eV per atom